Density functional theory data (PBE) for a relaxed structure of CeTl3Cl8.

Values from the calculation:
Space group   No. 121
Size of the total moment   0.893 Bohr magnetons per cell
DOS(E_F)   7.16 states/eV per cell
Raw total energy   -43.47 eV per formula unit
Crystal system   tetragonal
ΔE_f (raw)   -15.7 eV/f.u.

Cell: 9.064 9.064 9.064 Å, 133.72 133.72 67.52°
Sites, in units of the cell vectors:
Ce: 0.000 0.000 0.000
Tl: 0.250 0.750 0.500
Tl: 0.500 0.500 0.000
Tl: 0.750 0.250 0.500
Cl: 0.056 0.687 0.000
Cl: 0.188 0.188 0.559
Cl: 0.313 0.313 0.369
Cl: 0.370 0.812 0.000
Cl: 0.630 0.630 0.441
Cl: 0.687 0.056 0.000
Cl: 0.812 0.370 0.000
Cl: 0.944 0.944 0.631